# 1
VASP calculation (PBE) on a geometry-optimized Be2RhW structure.

a b c (Å): 3.870 3.870 4.995
angles (deg): 79.88 79.88 41.28
Fractional coordinates of all 4 atoms:
Be 0.007 0.007 0.956
Be 0.493 0.493 0.544
W 0.250 0.250 0.250
Rh 0.750 0.750 0.750

Output
DOS(E_F), states/eV per atom: 0.86
Energy, eV/atom: -6.88
Formation energy from the elements, eV/atom: 0.0576
Crystal system: monoclinic
Polymorph energy (0 for the lowest one), eV/atom: 0.3082


# 2
VASP calculation (PBE) on a geometry-optimized YBeRh2W structure.

a b c (Å): 4.744 4.458 4.744
angles (deg): 90.00 90.00 90.00
Fractional coordinates of all 5 atoms:
Y 0.500 0.500 0.500
Rh 0.000 0.000 0.500
Rh 0.500 0.000 0.000
Be 0.000 0.500 0.000
W 0.000 0.000 0.000

Output
DOS(E_F), states/eV per atom: 0.69
Energy, eV/atom: -7.10
Formation energy from the elements, eV/atom: 0.4673
Crystal system: tetragonal


Repeat the second record exactly.
VASP calculation (PBE) on a geometry-optimized YBeRh2W structure.

a b c (Å): 4.744 4.458 4.744
angles (deg): 90.00 90.00 90.00
Fractional coordinates of all 5 atoms:
Y 0.500 0.500 0.500
Rh 0.000 0.000 0.500
Rh 0.500 0.000 0.000
Be 0.000 0.500 0.000
W 0.000 0.000 0.000

Output
DOS(E_F), states/eV per atom: 0.69
Energy, eV/atom: -7.10
Formation energy from the elements, eV/atom: 0.4673
Crystal system: tetragonal


What did the first record say?
VASP calculation (PBE) on a geometry-optimized Be2RhW structure.

a b c (Å): 3.870 3.870 4.995
angles (deg): 79.88 79.88 41.28
Fractional coordinates of all 4 atoms:
Be 0.007 0.007 0.956
Be 0.493 0.493 0.544
W 0.250 0.250 0.250
Rh 0.750 0.750 0.750

Output
DOS(E_F), states/eV per atom: 0.86
Energy, eV/atom: -6.88
Formation energy from the elements, eV/atom: 0.0576
Crystal system: monoclinic
Polymorph energy (0 for the lowest one), eV/atom: 0.3082


Repeat the second record exactly.
VASP calculation (PBE) on a geometry-optimized YBeRh2W structure.

a b c (Å): 4.744 4.458 4.744
angles (deg): 90.00 90.00 90.00
Fractional coordinates of all 5 atoms:
Y 0.500 0.500 0.500
Rh 0.000 0.000 0.500
Rh 0.500 0.000 0.000
Be 0.000 0.500 0.000
W 0.000 0.000 0.000

Output
DOS(E_F), states/eV per atom: 0.69
Energy, eV/atom: -7.10
Formation energy from the elements, eV/atom: 0.4673
Crystal system: tetragonal


- What is the formation energy from the elements in the first record?
  0.0576 eV/atom